(1)
Material: Ca3CdN
Method: DFT, SCAN
State: PBEsol geometry

Properties
Formation energy from raw total energies ... -706 meV/atom
DFT total energy ... -14.45 eV per atom

abc: 4.880 4.880 4.880
angles: 90.00 90.00 90.00
Space group Pm-3m (No. 221)
One atom of each set of equivalent atoms:
Ca  0.000  0.000  0.500 [3 per cell]
Cd  0.500  0.500  0.500 [1 per cell]
N  0.000  0.000  0.000 [1 per cell]

(2)
Material: CaCdN2O
Method: DFT, SCAN
State: PBEsol geometry

Properties
Formation energy from raw total energies ... 423 meV/atom
DFT total energy ... -12.55 eV per atom

abc: 4.156 4.156 4.250
angles: 90.00 90.00 90.00
Space group P4/mmm (No. 123)
One atom of each set of equivalent atoms:
Ca  0.000  0.000  0.000 [1 per cell]
Cd  0.500  0.500  0.500 [1 per cell]
N  0.000  0.500  0.500 [2 per cell]
O  0.500  0.500  0.000 [1 per cell]

(3)
Material: NaCa2Cd2
Method: DFT, SCAN
State: PBEsol geometry

Properties
Formation enthalpy at 0 K ... -288 meV/atom
DFT total energy ... -17.16 eV per atom
Energy above the most stable polymorph in this dataset ... 0 meV per atom

abc: 8.234 8.234 4.354
angles: 90.00 90.00 90.00
Space group P4/mbm (No. 127)
One atom of each set of equivalent atoms:
Na  0.000  0.000  0.000 [2 per cell]
Ca  0.166  0.334  0.500 [4 per cell]
Cd  0.128  0.628  0.000 [4 per cell]

(4)
Material: NaCa2Cd2
Method: DFT, SCAN
State: PBEsol geometry

Properties
Formation enthalpy at 0 K ... -21 meV/atom
DFT total energy ... -16.89 eV per atom
Energy above the most stable polymorph in this dataset ... 267 meV per atom

abc: 4.190 4.190 18.356
angles: 90.00 90.00 90.00
Space group I4/mmm (No. 139)
One atom of each set of equivalent atoms:
Na  0.000  0.000  0.000 [2 per cell]
Ca  0.000  0.000  0.386 [4 per cell]
Cd  0.000  0.500  0.250 [4 per cell]

(5)
Material: NaCaTiCd2
Method: DFT, SCAN
State: PBEsol geometry

Properties
Formation enthalpy at 0 K ... 485 meV/atom
DFT total energy ... -17.66 eV per atom

abc: 5.336 5.336 5.420
angles: 90.00 90.00 90.00
Space group P4/mmm (No. 123)
One atom of each set of equivalent atoms:
Na  0.000  0.000  0.000 [1 per cell]
Ca  0.500  0.500  0.000 [1 per cell]
Ti  0.500  0.500  0.500 [1 per cell]
Cd  0.000  0.500  0.500 [2 per cell]

(6)
Material: CaNb3Cd
Method: DFT, SCAN
State: PBEsol geometry

Properties
Formation enthalpy at 0 K ... 2164 meV/atom
DFT total energy ... -25.73 eV per atom

abc: 4.694 4.694 4.694
angles: 90.00 90.00 90.00
Space group Pm-3m (No. 221)
One atom of each set of equivalent atoms:
Ca  0.000  0.000  0.000 [1 per cell]
Nb  0.000  0.000  0.500 [3 per cell]
Cd  0.500  0.500  0.500 [1 per cell]

| no. | D(E_F) (states/eV per atom) |
| --- | --- |
| 1 | 0.55 |
| 2 | 0.22 |
| 3 | 0.63 |
| 4 | 0.55 |
| 5 | 1.01 |
| 6 | 1.02 |